Density functional theory data (PBEsol) for an optimized crystal structure of IrOsPt.

Results
As for the crystal system: trigonal. Its symmetry is No. 156. The formation enthalpy at 0 K comes out at 0.05 eV per atom. The final energy comes out at -0.707 Ry per atom. For the calculated volume, the calculation gives 43.0 Å³/f.u. As for the offset from the most stable computed form: 0.0253 eV per atom.

abc: 2.725 2.725 6.691
angles: 90.00 90.00 120.00
Sites, in units of the cell vectors:
Ir 0.000 0.000 0.000
Os 0.333 0.667 0.684
Pt 0.667 0.333 0.347